[1]
Density functional theory data (meta-GGA SCAN) for a PBEsol-optimized structure of Li2TiAl2.

## Properties
M_tot ... 0.0 Bohr magnetons per cell
DFT formation energy ... 30 kJ/mol of formula units

```
Li2TiAl2
1.0
7.4871 0.0000 0.0000
0.0000 7.4871 0.0000
0.0000 0.0000 2.7488
Li Ti Al
4 2 4
Cartesian
1.2343 2.5093 0.0000
2.5093 6.2528 0.0000
4.9779 1.2343 0.0000
6.2528 4.9779 0.0000
0.0000 0.0000 1.3744
3.7436 3.7436 1.3744
1.0061 4.7497 1.3744
2.7374 1.0061 1.3744
4.7497 6.4810 1.3744
6.4810 2.7374 1.3744
```



[2]
Density functional theory data (meta-GGA SCAN) for a PBEsol-optimized structure of LiAl2Tl.

## Properties
M_tot ... 0.0 Bohr magnetons per cell
Relative energy among the computed polymorphs ... 190 meV per atom
DFT formation energy ... 70 kJ/mol of formula units

```
LiAl2Tl
1.0
6.8568 0.0000 0.0000
0.0000 6.8568 0.0000
0.0000 0.0000 6.8568
Li Al Tl
4 8 4
Cartesian
0.0000 0.0000 0.0000
0.0000 3.4284 3.4284
3.4284 0.0000 3.4284
3.4284 3.4284 0.0000
1.7142 1.7142 1.7142
1.7142 1.7142 5.1426
1.7142 5.1426 1.7142
1.7142 5.1426 5.1426
5.1426 1.7142 1.7142
5.1426 1.7142 5.1426
5.1426 5.1426 1.7142
5.1426 5.1426 5.1426
0.0000 0.0000 3.4284
0.0000 3.4284 0.0000
3.4284 0.0000 0.0000
3.4284 3.4284 3.4284
```



Repeat the second record exactly.
Density functional theory data (meta-GGA SCAN) for a PBEsol-optimized structure of LiAl2Tl.

## Properties
M_tot ... 0.0 Bohr magnetons per cell
Relative energy among the computed polymorphs ... 190 meV per atom
DFT formation energy ... 70 kJ/mol of formula units

```
LiAl2Tl
1.0
6.8568 0.0000 0.0000
0.0000 6.8568 0.0000
0.0000 0.0000 6.8568
Li Al Tl
4 8 4
Cartesian
0.0000 0.0000 0.0000
0.0000 3.4284 3.4284
3.4284 0.0000 3.4284
3.4284 3.4284 0.0000
1.7142 1.7142 1.7142
1.7142 1.7142 5.1426
1.7142 5.1426 1.7142
1.7142 5.1426 5.1426
5.1426 1.7142 1.7142
5.1426 1.7142 5.1426
5.1426 5.1426 1.7142
5.1426 5.1426 5.1426
0.0000 0.0000 3.4284
0.0000 3.4284 0.0000
3.4284 0.0000 0.0000
3.4284 3.4284 3.4284
```



Which value of DFT formation energy does entry 1 give?
30 kJ/mol of formula units